First-principles (PBE-GGA) data for a relaxed structure of KPuP2, as listed in Alexandria.

Cell lengths 4.159, 4.159, 7.678 Å; angles 74.29, 74.29, 60.00 degrees
Each line ends with the local moment (μB).
Fractional coordinates of all 4 atoms:
P 0.275 0.275 0.175  -0.24
P 0.725 0.725 0.825  -0.24
Pu 0.000 0.000 0.000  4.14
K 0.500 0.500 0.500  -0.01

Output
Mass density = 5.25 Mg/m³
SG = R-3m, No. 166
Energy relative to the elements = -205 kJ/mol of formula units
DFT total energy = -7.09 eV per atom

---

First-principles (PBE-GGA) data for a relaxed structure of K2RbP2, as listed in Alexandria.

Cell lengths 5.228, 5.228, 7.268 Å; angles 68.92, 68.92, 90.00 degrees
Each line ends with the local moment (μB).
Fractional coordinates of all 5 atoms:
P 0.414 0.414 0.173  0.18
K 0.750 0.250 0.500  0.01
P 0.586 0.586 0.827  0.18
Rb 0.000 0.000 0.000  0.00
K 0.250 0.750 0.500  0.01

Output
Mass density = 2.19 Mg/m³
SG = I4/mmm, No. 139
Energy relative to the elements = -103 kJ/mol of formula units
DFT total energy = -3.01 eV per atom
E above lowest polymorph = 29 meV per atom

---

First-principles (PBE-GGA) data for a relaxed structure of KRb3P, as listed in Alexandria.

Cell lengths 6.807, 6.807, 6.807 Å; angles 90.00, 90.00, 90.00 degrees
Each line ends with the local moment (μB).
Fractional coordinates of all 5 atoms:
P 0.000 0.000 0.000  0.18
Rb 0.500 0.000 0.000  0.01
Rb 0.000 0.000 0.500  0.01
Rb 0.000 0.500 0.000  0.01
K 0.500 0.500 0.500  0.02

Output
Mass density = 1.72 Mg/m³
SG = Pm-3m, No. 221
Energy relative to the elements = 3 kJ/mol of formula units
DFT total energy = -1.88 eV per atom
E above lowest polymorph = 0 meV per atom

---

First-principles (PBE-GGA) data for a relaxed structure of KRb2P2, as listed in Alexandria.

Cell lengths 10.077, 10.077, 3.215 Å; angles 90.00, 90.00, 90.00 degrees
Fractional coordinates of all 10 atoms:
Rb 0.620 0.120 0.000
P 0.178 0.678 0.500
P 0.322 0.178 0.500
Rb 0.380 0.880 0.000
Rb 0.120 0.380 0.000
K 0.500 0.500 0.000
K 0.000 0.000 0.000
P 0.678 0.822 0.500
Rb 0.880 0.620 0.000
P 0.822 0.322 0.500

Output
Mass density = 2.77 Mg/m³
SG = P4/mbm, No. 127
Energy relative to the elements = 81 kJ/mol of formula units
DFT total energy = -2.60 eV per atom
E above lowest polymorph = 430 meV per atom